First-principles (PBE-GGA) data for CeThRu2 after structural relaxation, as listed in Alexandria via LeMat-Bulk.

Summary:
Spin magnetization, μB/cell: 0.00
D(E_F), states/eV/cell: 13.43
ΔH_f (0 K), eV per atom: -0.45

a b c (Å): 5.481 5.467 12.007
angles (deg): 90.00 103.18 90.00
Positions (direct):
Ce 0.192 0.124 0.135
Ce 0.192 0.876 0.635
Ce 0.808 0.124 0.365
Ce 0.808 0.876 0.865
Th 0.305 0.374 0.861
Th 0.305 0.626 0.361
Th 0.695 0.374 0.639
Th 0.695 0.626 0.139
Ru 0.173 0.375 0.593
Ru 0.173 0.625 0.093
Ru 0.330 0.126 0.407
Ru 0.330 0.874 0.907
Ru 0.670 0.126 0.093
Ru 0.670 0.874 0.593
Ru 0.827 0.375 0.907
Ru 0.827 0.625 0.407


First-principles (PBE-GGA) data for AgS2NO after structural relaxation, as listed in Alexandria via LeMat-Bulk.

Summary:
Spin magnetization, μB/cell: 2.27
D(E_F), states/eV/cell: 2.51
Formation energy (no corrections), kJ/mol of atoms: 144.22
Polymorph energy (0 for the lowest one), eV per atom: 0.000

a b c (Å): 4.300 4.300 3.908
angles (deg): 90.00 90.00 90.00
Positions (direct):
Ag 0.000 0.000 0.000
S 0.000 0.500 0.500
S 0.500 0.000 0.500
N 0.500 0.500 0.000
O 0.500 0.500 0.500


First-principles (PBE-GGA) data for Rb2MgGaTe after structural relaxation, as listed in Alexandria via LeMat-Bulk.

Summary:
Spin magnetization, μB/cell: 1.73
D(E_F), states/eV/cell: 3.91
Formation energy (no corrections), kJ/mol of atoms: -2.11

a b c (Å): 7.006 7.006 5.544
angles (deg): 90.00 90.00 90.00
Positions (direct):
Rb 0.000 0.500 0.000
Rb 0.500 0.000 0.000
Mg 0.000 0.000 0.500
Ga 0.500 0.500 0.500
Te 0.000 0.000 0.000


First-principles (PBE-GGA) data for PmHo3Ru after structural relaxation, as listed in Alexandria via LeMat-Bulk.

Summary:
Spin magnetization, μB/cell: 0.37
D(E_F), states/eV/cell: 8.22
Polymorph energy (0 for the lowest one), eV per atom: 0.056
ΔH_f (0 K), eV per atom: -0.09

a b c (Å): 5.382 5.382 5.382
angles (deg): 90.00 90.00 90.00
Positions (direct):
Pm 0.000 0.000 0.000
Ho 0.000 0.500 0.500
Ho 0.500 0.000 0.500
Ho 0.500 0.500 0.000
Ru 0.500 0.500 0.500


First-principles (PBE-GGA) data for CdSb2TeO after structural relaxation, as listed in Alexandria via LeMat-Bulk.

Summary:
Spin magnetization, μB/cell: 0.00
D(E_F), states/eV/cell: 12.80
Formation energy (no corrections), kJ/mol of atoms: 116.57
Polymorph energy (0 for the lowest one), eV per atom: 1.146

a b c (Å): 5.515 5.515 5.470
angles (deg): 90.00 90.00 90.00
Positions (direct):
Cd 0.000 0.000 0.000
Sb 0.000 0.500 0.000
Sb 0.500 0.000 0.000
Te 0.000 0.000 0.500
O 0.500 0.500 0.500


First-principles (PBE-GGA) data for NiSb2TeH after structural relaxation, as listed in Alexandria via LeMat-Bulk.

Summary:
Spin magnetization, μB/cell: 0.75
D(E_F), states/eV/cell: 2.95
Polymorph energy (0 for the lowest one), eV per atom: 0.023

a b c (Å): 4.942 4.942 5.244
angles (deg): 90.00 90.00 90.00
Positions (direct):
Ni 0.000 0.000 0.000
Sb 0.000 0.500 0.000
Sb 0.500 0.000 0.000
Te 0.000 0.000 0.500
H 0.500 0.500 0.500


First-principles (PBE-GGA) data for PuInNiHg after structural relaxation, as listed in Alexandria via LeMat-Bulk.

Summary:
Spin magnetization, μB/cell: 20.46
D(E_F), states/eV/cell: 55.02
ΔH_f (0 K), eV per atom: 0.00

a b c (Å): 6.990 6.990 6.990
angles (deg): 90.00 90.00 90.00
Positions (direct):
Pu 0.000 0.000 0.000
Pu 0.000 0.500 0.500
Pu 0.500 0.000 0.500
Pu 0.500 0.500 0.000
In 0.000 0.000 0.500
In 0.000 0.500 0.000
In 0.500 0.000 0.000
In 0.500 0.500 0.500
Ni 0.250 0.250 0.250
Ni 0.250 0.750 0.750
Ni 0.750 0.250 0.750
Ni 0.750 0.750 0.250
Hg 0.250 0.250 0.750
Hg 0.250 0.750 0.250
Hg 0.750 0.250 0.250
Hg 0.750 0.750 0.750


First-principles (PBE-GGA) data for La2Te2Au after structural relaxation, as listed in Alexandria via LeMat-Bulk.

Summary:
Spin magnetization, μB/cell: 0.00
D(E_F), states/eV/cell: 4.22
Formation energy (no corrections), kJ/mol of atoms: -106.09
Polymorph energy (0 for the lowest one), eV per atom: 0.146

a b c (Å): 8.685 8.685 4.065
angles (deg): 90.00 90.00 90.00
Positions (direct):
La 0.161 0.339 0.000
La 0.339 0.839 0.000
La 0.661 0.161 0.000
La 0.839 0.661 0.000
Te 0.140 0.640 0.500
Te 0.360 0.140 0.500
Te 0.640 0.860 0.500
Te 0.860 0.360 0.500
Au 0.000 0.000 0.500
Au 0.500 0.500 0.500